First-principles (PBE) data for a relaxed TbPmPr2Y2 crystal, as listed in Alexandria.

Summary:
E_form	0.2675	eV/atom
SG	Pnnm (58)
theoretical density	6.1	g/cm3

abc: 6.699 18.212 3.423
angles: 90.00 90.00 90.00
Sites, in units of the cell vectors:
Tb (0.000, 0.000, 0.000)
Tb (0.500, 0.500, 0.500)
Pm (0.000, 0.500, 0.000)
Pm (0.500, 0.000, 0.500)
Pr (0.229, 0.184, 0.000)
Pr (0.271, 0.684, 0.500)
Pr (0.729, 0.316, 0.500)
Pr (0.771, 0.816, 0.000)
Y (0.227, 0.353, 0.500)
Y (0.273, 0.853, 0.000)
Y (0.727, 0.147, 0.000)
Y (0.773, 0.647, 0.500)

=====

First-principles (PBE) data for a relaxed Ba2P2HPd2 crystal, as listed in Alexandria.

Summary:
SG	C2/m (12)
total DFT energy (no corrections)	-0.3528	Ry per atom
theoretical density	6.0	g/cm3

abc: 6.181 6.181 7.491
angles: 122.00 122.00 40.01
Sites, in units of the cell vectors:
Ba (0.052, 0.052, 0.310)
Ba (0.948, 0.948, 0.690)
P (0.302, 0.302, 0.237)
P (0.698, 0.698, 0.763)
H (0.500, 0.500, 0.000)
Pd (0.308, 0.308, 0.912)
Pd (0.692, 0.692, 0.088)

=====

First-principles (PBE) data for a relaxed Si2AgC crystal, as listed in Alexandria.

Summary:
SG	I-42d (122)
theoretical density	4.7	g/cm3
formation energy (no corrections)	0.494	eV/atom

abc: 5.731 5.731 5.731
angles: 124.36 124.36 82.60
Sites, in units of the cell vectors:
Si (0.039, 0.625, 0.914)
Si (0.375, 0.289, 0.414)
Si (0.711, 0.125, 0.086)
Si (0.875, 0.961, 0.586)
Ag (0.250, 0.750, 0.500)
Ag (0.500, 0.500, 0.000)
C (0.000, 0.000, 0.000)
C (0.750, 0.250, 0.500)

=====

First-principles (PBE) data for a relaxed InAg3Os crystal, as listed in Alexandria.

Summary:
E_form	1.2889	eV/atom
SG	Pm-3m (221)
energy above the most stable polymorph in this dataset	0.0	meV/atom
theoretical density	7.7	g/cm3

abc: 5.138 5.138 5.138
angles: 90.00 90.00 90.00
Sites, in units of the cell vectors:
In (0.000, 0.000, 0.000)
Ag (0.000, 0.500, 0.500)
Ag (0.500, 0.000, 0.500)
Ag (0.500, 0.500, 0.000)
Os (0.500, 0.500, 0.500)

=====

First-principles (PBE) data for a relaxed CePrTm2Bi4 crystal, as listed in Alexandria.

Summary:
E_form	-0.8270	eV/atom
SG	P2/m (10)
theoretical density	9.2	g/cm3

abc: 7.823 4.537 7.856
angles: 90.00 109.53 90.00
Sites, in units of the cell vectors:
Ce (0.000, 0.000, 0.000)
Pr (0.000, 0.500, 0.500)
Tm (0.500, 0.000, 0.500)
Tm (0.500, 0.500, 0.000)
Bi (0.261, 0.500, 0.252)
Bi (0.262, 0.000, 0.756)
Bi (0.738, 0.000, 0.244)
Bi (0.739, 0.500, 0.748)

=====

First-principles (PBE) data for a relaxed LiWAu2 crystal, as listed in Alexandria.

Summary:
E_form	0.4721	eV/atom
SG	Pmmm (47)
energy above the most stable polymorph in this dataset	451.2	meV/atom
theoretical density	14.4	g/cm3

abc: 2.754 4.849 5.045
angles: 90.00 90.00 90.00
Sites, in units of the cell vectors:
Li (0.000, 0.000, 0.000)
W (0.500, 0.000, 0.500)
Au (0.000, 0.500, 0.500)
Au (0.500, 0.500, 0.000)

=====

First-principles (PBE) data for a relaxed Ca5Ta3 crystal, as listed in Alexandria.

Summary:
E_form	0.6335	eV/atom
SG	Cmmm (65)
energy above the most stable polymorph in this dataset	0.0	meV/atom
theoretical density	5.4	g/cm3

abc: 6.980 6.980 4.876
angles: 90.00 90.00 106.09
Sites, in units of the cell vectors:
Ca (0.000, 0.000, 0.000)
Ca (0.000, 0.500, 0.000)
Ca (0.241, 0.759, 0.500)
Ca (0.500, 0.000, 0.000)
Ca (0.759, 0.241, 0.500)
Ta (0.338, 0.338, 0.500)
Ta (0.500, 0.500, 0.000)
Ta (0.662, 0.662, 0.500)

=====

First-principles (PBE) data for a relaxed ScTl2 crystal, as listed in Alexandria.

Summary:
E_form	-0.0941	eV/atom
SG	Cmcm (63)
theoretical density	9.9	g/cm3

abc: 8.206 8.206 4.094
angles: 90.00 90.00 146.42
Sites, in units of the cell vectors:
Sc (0.084, 0.916, 0.750)
Sc (0.916, 0.084, 0.250)
Tl (0.258, 0.742, 0.250)
Tl (0.426, 0.574, 0.750)
Tl (0.574, 0.426, 0.250)
Tl (0.742, 0.258, 0.750)